1.
A plane-wave DFT calculation with PBE was carried out for Ta5Br after structural relaxation.

Results
Size of the total moment: 0.00 μB per formula unit
Energy relative to the elements, uncorrected: 0.357 eV per atom
Energy relative to the lowest polymorph listed for this composition: 0 meV/atom

CIF file:
```
data_Ta5Br
_space_group_name_H-M_alt 'P 1'
_space_group_IT_number 1
_space_group_name_Hall 'P 1'
_cell_length_a 5.509
_cell_length_b 5.509
_cell_length_c 6.704
_cell_angle_alpha 76.02
_cell_angle_beta 76.02
_cell_angle_gamma 34.76
loop_
_atom_site_label
_atom_site_type_symbol
_atom_site_fract_x
_atom_site_fract_y
_atom_site_fract_z
Ta1 Ta 0.292 0.292 0.399
Ta2 Ta 0.649 0.649 0.717
Ta3 Ta 0.620 0.620 0.245
Ta4 Ta 0.966 0.966 0.568
Ta5 Ta 0.310 0.310 0.894
Br1 Br 0.996 0.996 0.009
```



2.
A plane-wave DFT calculation with PBE was carried out for TaBr2 after structural relaxation.

Results
Size of the total moment: 0.55 μB per formula unit
Energy relative to the elements, uncorrected: -0.434 eV per atom

CIF file:
```
data_TaBr2
_space_group_name_H-M_alt 'P 1'
_space_group_IT_number 1
_space_group_name_Hall 'P 1'
_cell_length_a 6.586
_cell_length_b 6.586
_cell_length_c 10.215
_cell_angle_alpha 51.79
_cell_angle_beta 51.79
_cell_angle_gamma 30.09
loop_
_atom_site_label
_atom_site_type_symbol
_atom_site_fract_x
_atom_site_fract_y
_atom_site_fract_z
Ta1 Ta 0.859 0.859 0.449
Ta2 Ta 0.141 0.141 0.551
Br1 Br 0.253 0.253 0.699
Br2 Br 0.539 0.539 0.199
Br3 Br 0.461 0.461 0.801
Br4 Br 0.747 0.747 0.301
```



3.
A plane-wave DFT calculation with PBE was carried out for Ta3Br2 after structural relaxation.

Results
Size of the total moment: 0.00 μB per formula unit
Energy relative to the elements, uncorrected: 1.263 eV per atom
Energy relative to the lowest polymorph listed for this composition: 894 meV/atom

CIF file:
```
data_Ta3Br2
_space_group_name_H-M_alt 'P 1'
_space_group_IT_number 1
_space_group_name_Hall 'P 1'
_cell_length_a 4.391
_cell_length_b 4.391
_cell_length_c 5.955
_cell_angle_alpha 90.00
_cell_angle_beta 90.00
_cell_angle_gamma 120.00
loop_
_atom_site_label
_atom_site_type_symbol
_atom_site_fract_x
_atom_site_fract_y
_atom_site_fract_z
Ta1 Ta 0.000 0.000 0.000
Ta2 Ta 0.667 0.333 0.609
Ta3 Ta 0.333 0.667 0.391
Br1 Br 0.667 0.333 0.159
Br2 Br 0.333 0.667 0.841
```



4.
A plane-wave DFT calculation with PBE was carried out for Ta2Br5 after structural relaxation.

Results
Size of the total moment: 0.00 μB per formula unit
Energy relative to the elements, uncorrected: -0.884 eV per atom

CIF file:
```
data_Ta2Br5
_space_group_name_H-M_alt 'P 1'
_space_group_IT_number 1
_space_group_name_Hall 'P 1'
_cell_length_a 18.918
_cell_length_b 18.918
_cell_length_c 18.918
_cell_angle_alpha 109.47
_cell_angle_beta 109.47
_cell_angle_gamma 109.47
loop_
_atom_site_label
_atom_site_type_symbol
_atom_site_fract_x
_atom_site_fract_y
_atom_site_fract_z
Br1 Br 0.685 0.106 0.980
Br2 Br 0.815 0.795 0.421
Br3 Br 0.874 0.394 0.079
Br4 Br 0.626 0.705 0.520
Br5 Br 0.705 0.020 0.126
Br6 Br 0.394 0.579 0.374
Br7 Br 0.795 0.921 0.315
Br8 Br 0.106 0.480 0.185
Br9 Br 0.579 0.874 0.894
Br10 Br 0.020 0.626 0.205
Br11 Br 0.480 0.685 0.606
Br12 Br 0.921 0.815 0.295
Br13 Br 0.685 0.579 0.205
Br14 Br 0.815 0.020 0.894
Br15 Br 0.874 0.480 0.295
Br16 Br 0.626 0.921 0.606
Br17 Br 0.705 0.685 0.079
Br18 Br 0.394 0.815 0.520
Br19 Br 0.795 0.874 0.980
Br20 Br 0.106 0.626 0.421
Br21 Br 0.579 0.705 0.185
Br22 Br 0.020 0.394 0.315
Br23 Br 0.480 0.795 0.374
Br24 Br 0.921 0.106 0.126
Br25 Br 0.315 0.894 0.020
Br26 Br 0.185 0.205 0.579
Br27 Br 0.126 0.606 0.921
Br28 Br 0.374 0.295 0.480
Br29 Br 0.295 0.980 0.874
Br30 Br 0.606 0.421 0.626
Br31 Br 0.205 0.079 0.685
Br32 Br 0.894 0.520 0.815
Br33 Br 0.421 0.126 0.106
Br34 Br 0.980 0.374 0.795
Br35 Br 0.520 0.315 0.394
Br36 Br 0.079 0.185 0.705
Br37 Br 0.315 0.421 0.795
Br38 Br 0.185 0.980 0.106
Br39 Br 0.126 0.520 0.705
Br40 Br 0.374 0.079 0.394
Br41 Br 0.295 0.315 0.921
Br42 Br 0.606 0.185 0.480
Br43 Br 0.205 0.126 0.020
Br44 Br 0.894 0.374 0.579
Br45 Br 0.421 0.295 0.815
Br46 Br 0.980 0.606 0.685
Br47 Br 0.520 0.205 0.626
Br48 Br 0.079 0.894 0.874
Br49 Br 0.486 0.090 0.858
Br50 Br 0.014 0.873 0.605
Br51 Br 0.768 0.410 0.895
Br52 Br 0.732 0.627 0.642
Br53 Br 0.627 0.142 0.232
Br54 Br 0.410 0.395 0.268
Br55 Br 0.873 0.105 0.514
Br56 Br 0.090 0.358 0.986
Br57 Br 0.395 0.768 0.910
Br58 Br 0.142 0.732 0.127
Br59 Br 0.358 0.486 0.590
Br60 Br 0.105 0.014 0.373
Br61 Br 0.486 0.395 0.127
Br62 Br 0.014 0.142 0.910
Br63 Br 0.768 0.358 0.373
Br64 Br 0.732 0.105 0.590
Br65 Br 0.627 0.486 0.895
Br66 Br 0.410 0.014 0.642
Br67 Br 0.873 0.768 0.858
Br68 Br 0.090 0.732 0.605
Br69 Br 0.395 0.627 0.986
Br70 Br 0.142 0.410 0.514
Br71 Br 0.358 0.873 0.268
Br72 Br 0.105 0.090 0.232
Br73 Br 0.514 0.910 0.142
Br74 Br 0.986 0.127 0.395
Br75 Br 0.232 0.590 0.105
Br76 Br 0.268 0.373 0.358
Br77 Br 0.373 0.858 0.768
Br78 Br 0.590 0.605 0.732
Br79 Br 0.127 0.895 0.486
Br80 Br 0.910 0.642 0.014
Br81 Br 0.605 0.232 0.090
Br82 Br 0.858 0.268 0.873
Br83 Br 0.642 0.514 0.410
Br84 Br 0.895 0.986 0.627
Br85 Br 0.514 0.605 0.873
Br86 Br 0.986 0.858 0.090
Br87 Br 0.232 0.642 0.627
Br88 Br 0.268 0.895 0.410
Br89 Br 0.373 0.514 0.105
Br90 Br 0.590 0.986 0.358
Br91 Br 0.127 0.232 0.142
Br92 Br 0.910 0.268 0.395
Br93 Br 0.605 0.373 0.014
Br94 Br 0.858 0.590 0.486
Br95 Br 0.642 0.127 0.732
Br96 Br 0.895 0.910 0.768
Br97 Br 0.198 0.448 0.896
Br98 Br 0.302 0.198 0.250
Br99 Br 0.448 0.052 0.250
Br100 Br 0.052 0.302 0.604
Br101 Br 0.302 0.104 0.552
Br102 Br 0.052 0.750 0.948
Br103 Br 0.198 0.750 0.802
Br104 Br 0.448 0.396 0.698
Br105 Br 0.750 0.448 0.552
Br106 Br 0.104 0.052 0.802
Br107 Br 0.396 0.198 0.948
Br108 Br 0.750 0.302 0.698
Br109 Br 0.802 0.552 0.104
Br110 Br 0.698 0.802 0.750
Br111 Br 0.552 0.948 0.750
Br112 Br 0.948 0.698 0.396
Br113 Br 0.698 0.896 0.448
Br114 Br 0.948 0.250 0.052
Br115 Br 0.802 0.250 0.198
Br116 Br 0.552 0.604 0.302
Br117 Br 0.250 0.552 0.448
Br118 Br 0.896 0.948 0.198
Br119 Br 0.604 0.802 0.052
Br120 Br 0.250 0.698 0.302
Ta1 Ta 0.524 0.984 0.897
Ta2 Ta 0.976 0.873 0.459
Ta3 Ta 0.913 0.516 0.041
Ta4 Ta 0.587 0.627 0.603
Ta5 Ta 0.627 0.103 0.087
Ta6 Ta 0.516 0.541 0.413
Ta7 Ta 0.873 0.959 0.476
Ta8 Ta 0.984 0.397 0.024
Ta9 Ta 0.541 0.913 0.016
Ta10 Ta 0.103 0.587 0.127
Ta11 Ta 0.397 0.524 0.484
Ta12 Ta 0.959 0.976 0.373
Ta13 Ta 0.524 0.541 0.127
Ta14 Ta 0.976 0.103 0.016
Ta15 Ta 0.913 0.397 0.373
Ta16 Ta 0.587 0.959 0.484
Ta17 Ta 0.627 0.524 0.041
Ta18 Ta 0.516 0.976 0.603
Ta19 Ta 0.873 0.913 0.897
Ta20 Ta 0.984 0.587 0.459
Ta21 Ta 0.541 0.627 0.024
Ta22 Ta 0.103 0.516 0.476
Ta23 Ta 0.397 0.873 0.413
Ta24 Ta 0.959 0.984 0.087
Ta25 Ta 0.476 0.016 0.103
Ta26 Ta 0.024 0.127 0.541
Ta27 Ta 0.087 0.484 0.959
Ta28 Ta 0.413 0.373 0.397
Ta29 Ta 0.373 0.897 0.913
Ta30 Ta 0.484 0.459 0.587
Ta31 Ta 0.127 0.041 0.524
Ta32 Ta 0.016 0.603 0.976
Ta33 Ta 0.459 0.087 0.984
Ta34 Ta 0.897 0.413 0.873
Ta35 Ta 0.603 0.476 0.516
Ta36 Ta 0.041 0.024 0.627
Ta37 Ta 0.476 0.459 0.873
Ta38 Ta 0.024 0.897 0.984
Ta39 Ta 0.087 0.603 0.627
Ta40 Ta 0.413 0.041 0.516
Ta41 Ta 0.373 0.476 0.959
Ta42 Ta 0.484 0.024 0.397
Ta43 Ta 0.127 0.087 0.103
Ta44 Ta 0.016 0.413 0.541
Ta45 Ta 0.459 0.373 0.976
Ta46 Ta 0.897 0.484 0.524
Ta47 Ta 0.603 0.127 0.587
Ta48 Ta 0.041 0.016 0.913
```



5.
A plane-wave DFT calculation with PBE was carried out for Ta3Br2 after structural relaxation.

Results
Size of the total moment: 0.29 μB per formula unit
Energy relative to the elements, uncorrected: 0.368 eV per atom
Energy relative to the lowest polymorph listed for this composition: 0 meV/atom

CIF file:
```
data_Ta3Br2
_space_group_name_H-M_alt 'P 1'
_space_group_IT_number 1
_space_group_name_Hall 'P 1'
_cell_length_a 12.117
_cell_length_b 12.117
_cell_length_c 12.117
_cell_angle_alpha 15.33
_cell_angle_beta 15.33
_cell_angle_gamma 15.33
loop_
_atom_site_label
_atom_site_type_symbol
_atom_site_fract_x
_atom_site_fract_y
_atom_site_fract_z
Ta1 Ta 0.000 0.000 0.000
Ta2 Ta 0.807 0.807 0.807
Ta3 Ta 0.193 0.193 0.193
Br1 Br 0.388 0.388 0.388
Br2 Br 0.612 0.612 0.612
```



6.
A plane-wave DFT calculation with PBE was carried out for TaTcBr2 after structural relaxation.

Results
Size of the total moment: 0.74 μB per formula unit
Energy relative to the elements, uncorrected: 1.263 eV per atom
Energy relative to the lowest polymorph listed for this composition: 1444 meV/atom

CIF file:
```
data_TaTcBr2
_space_group_name_H-M_alt 'P 1'
_space_group_IT_number 1
_space_group_name_Hall 'P 1'
_cell_length_a 5.924
_cell_length_b 5.924
_cell_length_c 6.753
_cell_angle_alpha 63.99
_cell_angle_beta 63.99
_cell_angle_gamma 90.00
loop_
_atom_site_label
_atom_site_type_symbol
_atom_site_fract_x
_atom_site_fract_y
_atom_site_fract_z
Tc1 Tc 0.500 0.500 0.000
Tc2 Tc 0.250 0.750 0.500
Br1 Br 0.612 0.125 0.250
Br2 Br 0.138 0.625 0.250
Br3 Br 0.375 0.388 0.750
Br4 Br 0.875 0.862 0.750
Ta1 Ta 0.000 0.000 0.000
Ta2 Ta 0.750 0.250 0.500
```



Q: Among the records above, which one has the lowest energy relative to the elements, uncorrected?
A: Ta2Br5



Q: Which value of energy relative to the elements, uncorrected does entry 6 give?
A: 1.263 eV per atom



Q: size of the total moment of number 3 (Ta3Br2)?
A: 0.00 μB per formula unit



Q: Which value of energy relative to the elements, uncorrected does entry 2 give?
A: -0.434 eV per atom